# 1
A plane-wave DFT calculation with PBE was carried out for a geometry-optimized Li2La2DyCd5 structure. Values from VASP.

Mass density = 6.8 g/cm3

```
&SYSTEM
  ibrav = 0, nat = 20, ntyp = 4
/
ATOMIC_SPECIES
Li 6.94 Li.upf
La 138.91 La.upf
Dy 162.50 Dy.upf
Cd 112.41 Cd.upf
CELL_PARAMETERS angstrom
10.974 0.000 0.000
0.000 10.974 0.000
0.000 0.000 4.098
ATOMIC_POSITIONS crystal
Li 0.115 0.385 0.000
Li 0.385 0.885 0.000
Li 0.615 0.115 0.000
Li 0.885 0.615 0.000
La 0.181 0.681 0.000
La 0.319 0.181 0.000
La 0.681 0.819 0.000
La 0.819 0.319 0.000
Dy 0.000 0.000 0.000
Dy 0.500 0.500 0.000
Cd 0.000 0.500 0.500
Cd 0.058 0.214 0.500
Cd 0.214 0.942 0.500
Cd 0.286 0.442 0.500
Cd 0.442 0.714 0.500
Cd 0.500 0.000 0.500
Cd 0.558 0.286 0.500
Cd 0.714 0.558 0.500
Cd 0.786 0.058 0.500
Cd 0.942 0.786 0.500
```

***

# 2
A plane-wave DFT calculation with PBE was carried out for a geometry-optimized LiLaDy2Cd4 structure. Values from VASP.

Mass density = 7.3 g/cm3

```
&SYSTEM
  ibrav = 0, nat = 8, ntyp = 4
/
ATOMIC_SPECIES
Li 6.94 Li.upf
La 138.91 La.upf
Dy 162.50 Dy.upf
Cd 112.41 Cd.upf
CELL_PARAMETERS angstrom
2.616 1.510 8.795
-2.616 1.510 8.795
0.000 -3.020 8.795
ATOMIC_POSITIONS crystal
Li 0.000 0.000 0.000
La 0.500 0.500 0.500
Dy 0.254 0.254 0.254
Dy 0.746 0.746 0.746
Cd 0.114 0.114 0.114
Cd 0.372 0.372 0.372
Cd 0.628 0.628 0.628
Cd 0.886 0.886 0.886
```

***

# 3
A plane-wave DFT calculation with PBE was carried out for a geometry-optimized LaDyLuCd structure. Values from VASP.

Mass density = 8.2 g/cm3

```
&SYSTEM
  ibrav = 0, nat = 4, ntyp = 4
/
ATOMIC_SPECIES
La 138.91 La.upf
Dy 162.50 Dy.upf
Lu 174.97 Lu.upf
Cd 112.41 Cd.upf
CELL_PARAMETERS angstrom
0.000 3.900 3.900
3.900 0.000 3.900
3.900 3.900 0.000
ATOMIC_POSITIONS crystal
La 0.000 0.000 0.000
Dy 0.500 0.500 0.500
Lu 0.750 0.750 0.750
Cd 0.250 0.250 0.250
```

***

# 4
A plane-wave DFT calculation with PBE was carried out for a geometry-optimized LaDyMnCd structure. Values from VASP.

Mass density = 7.4 g/cm3

```
&SYSTEM
  ibrav = 0, nat = 4, ntyp = 4
/
ATOMIC_SPECIES
La 138.91 La.upf
Dy 162.50 Dy.upf
Mn 54.94 Mn.upf
Cd 112.41 Cd.upf
CELL_PARAMETERS angstrom
0.000 3.749 3.749
3.749 0.000 3.749
3.749 3.749 0.000
ATOMIC_POSITIONS crystal
La 0.000 0.000 0.000
Dy 0.500 0.500 0.500
Mn 0.250 0.250 0.250
Cd 0.750 0.750 0.750
```

***

# 5
A plane-wave DFT calculation with PBE was carried out for a geometry-optimized La2Nd2DyCd5 structure. Values from VASP.

Mass density = 7.5 g/cm3

```
&SYSTEM
  ibrav = 0, nat = 20, ntyp = 4
/
ATOMIC_SPECIES
La 138.91 La.upf
Nd 144.24 Nd.upf
Dy 162.50 Dy.upf
Cd 112.41 Cd.upf
CELL_PARAMETERS angstrom
10.831 0.000 0.000
0.000 10.831 0.000
0.000 0.000 4.883
ATOMIC_POSITIONS crystal
La 0.175 0.325 0.000
La 0.325 0.825 0.000
La 0.675 0.175 0.000
La 0.825 0.675 0.000
Nd 0.126 0.626 0.000
Nd 0.374 0.126 0.000
Nd 0.626 0.874 0.000
Nd 0.874 0.374 0.000
Dy 0.000 0.000 0.000
Dy 0.500 0.500 0.000
Cd 0.000 0.500 0.500
Cd 0.067 0.811 0.500
Cd 0.189 0.067 0.500
Cd 0.311 0.567 0.500
Cd 0.433 0.311 0.500
Cd 0.500 0.000 0.500
Cd 0.567 0.689 0.500
Cd 0.689 0.433 0.500
Cd 0.811 0.933 0.500
Cd 0.933 0.189 0.500
```

***

# 6
A plane-wave DFT calculation with PBE was carried out for a geometry-optimized La5NdDyCd2 structure. Values from VASP.

Mass density = 6.8 g/cm3

```
&SYSTEM
  ibrav = 0, nat = 18, ntyp = 4
/
ATOMIC_SPECIES
La 138.91 La.upf
Nd 144.24 Nd.upf
Dy 162.50 Dy.upf
Cd 112.41 Cd.upf
CELL_PARAMETERS angstrom
-4.467 4.467 7.527
4.467 -4.467 7.527
4.467 4.467 -7.527
ATOMIC_POSITIONS crystal
La 0.000 0.000 0.000
La 0.069 0.569 0.903
La 0.167 0.069 0.500
La 0.333 0.833 0.903
La 0.431 0.333 0.500
La 0.500 0.500 0.000
La 0.569 0.667 0.500
La 0.667 0.167 0.097
La 0.833 0.931 0.500
La 0.931 0.431 0.097
Nd 0.250 0.750 0.500
Nd 0.750 0.250 0.500
Dy 0.250 0.250 0.000
Dy 0.750 0.750 0.000
Cd 0.107 0.393 0.500
Cd 0.393 0.893 0.285
Cd 0.607 0.107 0.715
Cd 0.893 0.607 0.500
```

***

# 7
A plane-wave DFT calculation with PBE was carried out for a geometry-optimized LaDyCdNi structure. Values from VASP.

Mass density = 7.9 g/cm3

```
&SYSTEM
  ibrav = 0, nat = 4, ntyp = 4
/
ATOMIC_SPECIES
La 138.91 La.upf
Dy 162.50 Dy.upf
Cd 112.41 Cd.upf
Ni 58.69 Ni.upf
CELL_PARAMETERS angstrom
0.000 3.673 3.673
3.673 0.000 3.673
3.673 3.673 0.000
ATOMIC_POSITIONS crystal
La 0.000 0.000 0.000
Dy 0.500 0.500 0.500
Cd 0.750 0.750 0.750
Ni 0.250 0.250 0.250
```

***

# 8
A plane-wave DFT calculation with PBE was carried out for a geometry-optimized LaDyCdOs structure. Values from VASP.

Mass density = 10.4 g/cm3

```
&SYSTEM
  ibrav = 0, nat = 4, ntyp = 4
/
ATOMIC_SPECIES
La 138.91 La.upf
Dy 162.50 Dy.upf
Cd 112.41 Cd.upf
Os 190.23 Os.upf
CELL_PARAMETERS angstrom
0.000 3.639 3.639
3.639 0.000 3.639
3.639 3.639 0.000
ATOMIC_POSITIONS crystal
La 0.000 0.000 0.000
Dy 0.500 0.500 0.500
Cd 0.250 0.250 0.250
Os 0.750 0.750 0.750
```

***

In meV per atom, the formation energy values for the records above are, in order, -297.2, -259.8, -55.5, 9.5, -197.9, 17.5, -204.0, -107.4.